Computed, not measured: a relaxed Ce2NbAs3Ir4 crystal at the PBE-GGA level of DFT.

Output
- Spin magnetization: 0.580 μB/f.u.
- Total energy: -7.8712 eV per atom
- E_form: -7.4 eV per formula unit

a b c (Å): 4.1669 4.1669 10.7783
angles (deg): 90.00 90.00 90.00
Positions (direct):
Ce: 0.0000 0.5000 0.2366
Ce: 0.5000 0.0000 0.7634
Nb: 0.0000 0.0000 0.5000
As: 0.0000 0.5000 0.8645
As: 0.5000 0.0000 0.1355
As: 0.5000 0.5000 0.5000
Ir: 0.0000 0.0000 0.0000
Ir: 0.0000 0.5000 0.6382
Ir: 0.5000 0.0000 0.3618
Ir: 0.5000 0.5000 0.0000